VASP calculation (GGA-PBE) on a geometry-optimized YTcB3 structure.

abc: 4.2408 4.2408 4.2408
angles: 90.00 90.00 90.00
Space group Pm-3m (No. 221)
Inequivalent atoms, fractional coordinates:
Y (0.0000, 0.0000, 0.0000) x1
Tc (0.5000, 0.5000, 0.5000) x1
B (0.0000, 0.0000, 0.5000) x3

Total magnetic moment: 0.000 μB/atom
Energy above the most stable polymorph in this dataset: 1475 kJ/mol of formula units
E: -4.721 eV per atom

=====

VASP calculation (GGA-PBE) on a geometry-optimized Y3Tc3B8 structure.

abc: 3.1621 8.9022 12.6041
angles: 90.00 90.00 90.00
Space group Immm (No. 71)
Inequivalent atoms, fractional coordinates:
Y (0.0000, 0.0000, 0.0000) x2
Y (0.0000, 0.0000, 0.2828) x4
Tc (0.0000, 0.2213, 0.5000) x4
Tc (0.0000, 0.5000, 0.0000) x2
B (0.0000, 0.2431, 0.1337) x8
B (0.0000, 0.3255, 0.3476) x8

Total magnetic moment: 0.000 μB/atom
E: -7.598 eV per atom